{
  "formula": "HfCoHg3",
  "functional": "GGA-PBE",
  "state": "relaxed",
  "lattice": [[4.8442, 0.0000, 0.0000], [0.0000, 4.8442, 0.0000], [0.0000, 0.0000, 4.8442]],
  "species": ["Hf", "Co", "Hg", "Hg", "Hg"],
  "frac_coords": [[0.0000, 0.0000, 0.0000], [0.5000, 0.5000, 0.5000], [0.0000, 0.5000, 0.5000], [0.5000, 0.0000, 0.5000], [0.5000, 0.5000, 0.0000]],
  "crystal_system": "cubic",
  "e_form_ev_per_atom": 0.756,
  "dft_energy_ev_per_atom": -2.837
}

{
  "formula": "HfCo3Hg",
  "functional": "GGA-PBE",
  "state": "relaxed",
  "lattice": [[4.5453, 0.0000, 0.0000], [0.0000, 4.5453, 0.0000], [0.0000, 0.0000, 4.5453]],
  "species": ["Hf", "Co", "Co", "Co", "Hg"],
  "frac_coords": [[0.0000, 0.0000, 0.0000], [0.0000, 0.0000, 0.5000], [0.0000, 0.5000, 0.0000], [0.5000, 0.0000, 0.0000], [0.5000, 0.5000, 0.5000]],
  "crystal_system": "cubic",
  "e_form_ev_per_atom": 1.284,
  "dft_energy_ev_per_atom": -5.030
}

{
  "formula": "Hf6CoHg2",
  "functional": "GGA-PBE",
  "state": "relaxed",
  "lattice": [[8.0195, 0.0000, 0.0000], [-4.0097, 6.9451, 0.0000], [0.0000, 0.0000, 3.3341]],
  "species": ["Hf", "Hf", "Hf", "Hf", "Hf", "Hf", "Co", "Hg", "Hg"],
  "frac_coords": [[0.0000, 0.2392, 0.0000], [0.0000, 0.6132, 0.5000], [0.2392, 0.0000, 0.0000], [0.3868, 0.3868, 0.5000], [0.6132, 0.0000, 0.5000], [0.7608, 0.7608, 0.0000], [0.0000, 0.0000, 0.5000], [0.3333, 0.6667, 0.0000], [0.6667, 0.3333, 0.0000]],
  "crystal_system": "hexagonal",
  "e_form_ev_per_atom": -0.142,
  "dft_energy_ev_per_atom": -7.635
}

{
  "formula": "Hf4CoHg2",
  "functional": "GGA-PBE",
  "state": "relaxed",
  "lattice": [[-2.3521, 2.3521, 7.1774], [2.3521, -2.3521, 7.1774], [2.3521, 2.3521, -7.1774]],
  "species": ["Hf", "Hf", "Hf", "Hf", "Co", "Hg", "Hg"],
  "frac_coords": [[0.0000, 0.5000, 0.5000], [0.1731, 0.1731, 0.0000], [0.5000, 0.0000, 0.5000], [0.8269, 0.8269, 0.0000], [0.0000, 0.0000, 0.0000], [0.3673, 0.3673, 0.0000], [0.6327, 0.6327, 0.0000]],
  "crystal_system": "tetragonal",
  "e_form_ev_per_atom": 0.213,
  "dft_energy_ev_per_atom": -6.576
}

{
  "formula": "HfCoHg2I",
  "functional": "GGA-PBE",
  "state": "relaxed",
  "lattice": [[5.6402, 0.0000, 0.0000], [0.0000, 5.6402, 0.0000], [0.0000, 0.0000, 5.4936]],
  "species": ["Hf", "Co", "Hg", "Hg", "I"],
  "frac_coords": [[0.0000, 0.0000, 0.0000], [0.5000, 0.5000, 0.5000], [0.0000, 0.5000, 0.0000], [0.5000, 0.0000, 0.0000], [0.0000, 0.0000, 0.5000]],
  "crystal_system": "tetragonal",
  "e_form_raw_ev_per_atom": 0.99,
  "dft_energy_ev_per_atom": -2.849
}

{
  "formula": "HfIn2CoHg",
  "functional": "GGA-PBE",
  "state": "relaxed",
  "lattice": [[5.7747, 0.0000, 0.0000], [0.0000, 5.7747, 0.0000], [0.0000, 0.0000, 4.4601]],
  "species": ["Hf", "In", "In", "Co", "Hg"],
  "frac_coords": [[0.0000, 0.0000, 0.0000], [0.0000, 0.5000, 0.0000], [0.5000, 0.0000, 0.0000], [0.0000, 0.0000, 0.5000], [0.5000, 0.5000, 0.5000]],
  "crystal_system": "tetragonal",
  "e_form_ev_per_atom": 0.848,
  "dft_energy_ev_per_atom": -3.720
}

{
  "formula": "K2HfCoHg",
  "functional": "GGA-PBE",
  "state": "relaxed",
  "lattice": [[6.1819, 0.0000, 0.0000], [0.0000, 6.1819, 0.0000], [0.0000, 0.0000, 5.4498]],
  "species": ["K", "K", "Hf", "Co", "Hg"],
  "frac_coords": [[0.0000, 0.5000, 0.0000], [0.5000, 0.0000, 0.0000], [0.0000, 0.0000, 0.5000], [0.5000, 0.5000, 0.5000], [0.0000, 0.0000, 0.0000]],
  "crystal_system": "tetragonal",
  "e_form_ev_per_atom": 1.362,
  "dft_energy_ev_per_atom": -2.550
}

{
  "formula": "HfMgCoHg2",
  "functional": "GGA-PBE",
  "state": "relaxed",
  "lattice": [[4.8896, 0.0000, 0.0000], [0.0000, 4.8896, 0.0000], [0.0000, 0.0000, 4.4254]],
  "species": ["Hf", "Mg", "Co", "Hg", "Hg"],
  "frac_coords": [[0.0000, 0.0000, 0.0000], [0.5000, 0.5000, 0.5000], [0.5000, 0.5000, 0.0000], [0.0000, 0.5000, 0.5000], [0.5000, 0.0000, 0.5000]],
  "crystal_system": "tetragonal",
  "e_form_ev_per_atom": 0.939,
  "dft_energy_ev_per_atom": -2.913
}

Calculated M_tot (Bohr magnetons per cell), listed in the same order as above: 0.0; 1.6; 0.0; 0.0; 2.5; 0.0; 1.6; 0.0
Calculated ρ (Mg/m³), listed in the same order as above: 12.3; 9.8; 13.7; 12.3; 7.3; 7.5; 4.1; 10.4